# GGA-PBE Pm3Ga4Sn2, relaxed
# - DFT formation energy: -0.582 eV/atom
# - E: -79.20 eV for the cell shown
# - Crystal system: monoclinic
data_Pm3Ga4Sn2
_chemical_formula_sum 'Pm6 Ga8 Sn4'
_cell_length_a 11.550
_cell_length_b 4.381
_cell_length_c 9.260
_cell_angle_alpha 90.00
_cell_angle_beta 112.64
_cell_angle_gamma 90.00
_symmetry_space_group_name_H-M 'C 1 2/m 1'
_symmetry_Int_Tables_number 12
_symmetry_space_group_name_Hall '-C 2y'
loop_
_atom_site_label
_atom_site_type_symbol
_atom_site_fract_x
_atom_site_fract_y
_atom_site_fract_z
Pm1 Pm 0.000 0.000 0.000
Pm2 Pm 0.124 0.500 0.696
Ga1 Ga 0.078 0.000 0.413
Ga2 Ga 0.222 0.500 0.045
Sn1 Sn 0.166 0.500 0.307

# GGA-PBE SrLiCd, relaxed
# - ΔE to the lowest computed polymorph: 0.190 eV/atom
# - DFT formation energy: -0.030 eV/atom
# - E: -18.41 eV for the cell shown
# - Crystal system: cubic
data_SrLiCd
_chemical_formula_sum 'Sr4 Li4 Cd4'
_cell_length_a 7.541
_cell_length_b 7.541
_cell_length_c 7.541
_cell_angle_alpha 90.00
_cell_angle_beta 90.00
_cell_angle_gamma 90.00
_symmetry_space_group_name_H-M 'F -4 3 m'
_symmetry_Int_Tables_number 216
_symmetry_space_group_name_Hall 'F -4 2 3'
loop_
_atom_site_label
_atom_site_type_symbol
_atom_site_fract_x
_atom_site_fract_y
_atom_site_fract_z
Sr1 Sr 0.000 0.000 0.000
Li1 Li 0.000 0.000 0.500
Cd1 Cd 0.250 0.250 0.250

# GGA-PBE TbErH4, relaxed
# - E: -107.36 eV for the cell shown
# - Crystal system: tetragonal
data_TbErH4
_chemical_formula_sum 'Tb4 Er4 H16'
_cell_length_a 5.149
_cell_length_b 5.149
_cell_length_c 10.388
_cell_angle_alpha 90.00
_cell_angle_beta 90.00
_cell_angle_gamma 90.00
_symmetry_space_group_name_H-M 'I 41/a m d'
_symmetry_Int_Tables_number 141
loop_
_symmetry_equiv_pos_as_xyz
'x,y,z'
'-x,-y,-z'
'-y+1/4,x+3/4,z+1/4'
'y+1/4,-x+3/4,-z+1/4'
'-x+1/2,-y,z+1/2'
'x+1/2,y,-z+1/2'
'y+1/4,-x+1/4,z+3/4'
'-y+1/4,x+1/4,-z+3/4'
'x,-y,-z'
'-x,y,z'
'-y+1/4,-x+1/4,-z+3/4'
'y+1/4,x+1/4,z+3/4'
'-x+1/2,y,-z+1/2'
'x+1/2,-y,z+1/2'
'y+1/4,x+3/4,-z+1/4'
'-y+1/4,-x+3/4,z+1/4'
'x+1/2,y+1/2,z+1/2'
'-x+1/2,-y+1/2,-z+1/2'
'-y+3/4,x+1/4,z+3/4'
'y+3/4,-x+1/4,-z+3/4'
'-x,-y+1/2,z'
'x,y+1/2,-z'
'y+3/4,-x+3/4,z+1/4'
'-y+3/4,x+3/4,-z+1/4'
'x+1/2,-y+1/2,-z+1/2'
'-x+1/2,y+1/2,z+1/2'
'-y+3/4,-x+3/4,-z+1/4'
'y+3/4,x+3/4,z+1/4'
'-x,y+1/2,-z'
'x,-y+1/2,z'
'y+3/4,x+1/4,-z+3/4'
'-y+3/4,-x+1/4,z+3/4'
loop_
_atom_site_label
_atom_site_type_symbol
_atom_site_fract_x
_atom_site_fract_y
_atom_site_fract_z
Tb1 Tb 0.000 0.250 0.375
Er1 Er 0.000 0.250 0.875
H1 H 0.245 0.000 0.000

# GGA-PBE Tb8BiTe4Se3, relaxed
# - Formation energy from raw total energies: -1.434 eV/atom
# - E: -260.68 eV for the cell shown
# - Crystal system: trigonal
data_Tb8BiTe4Se3
_chemical_formula_sum 'Tb24 Bi3 Te12 Se9'
_cell_length_a 8.5513
_cell_length_b 8.5513
_cell_length_c 21.2032
_cell_angle_alpha 90.00
_cell_angle_beta 90.00
_cell_angle_gamma 120.00
_symmetry_space_group_name_H-M 'R -3 m'
_symmetry_Int_Tables_number 166
_symmetry_space_group_name_Hall '-R 3 2"'
loop_
_atom_site_label
_atom_site_type_symbol
_atom_site_fract_x
_atom_site_fract_y
_atom_site_fract_z
Tb1 Tb 0.0000 0.0000 0.2386
Tb2 Tb 0.0180 0.5090 0.7582
Bi1 Bi 0.0000 0.0000 0.5000
Te1 Te 0.0000 0.0000 0.0000
Te2 Te 0.0000 0.5000 0.0000
Se1 Se 0.0000 0.5000 0.5000